# 1
Tb2Y5Tm5: relaxed, PBE.

* crystal system: monoclinic
* excess energy over the best structure of this formula in the dataset: 51 kJ/mol of formula units
* calculated density: 7.12 g/cm3
* DFT formation energy: 80 kJ/mol of formula units

abc: 5.576 6.567 11.848
angles: 74.39 76.39 64.88
Fractional coordinates of all 12 atoms:
Tm  0.203  0.139  0.454
Tm  0.797  0.861  0.546
Tm  0.249  0.754  0.747
Tm  0.751  0.246  0.253
Tm  0.000  0.000  0.000
Y  0.704  0.641  0.952
Y  0.296  0.359  0.048
Y  0.500  0.500  0.500
Y  0.535  0.144  0.786
Y  0.465  0.856  0.214
Tb  0.963  0.361  0.714
Tb  0.037  0.639  0.286

# 2
TbYTm2: relaxed, PBE.

* crystal system: monoclinic
* excess energy over the best structure of this formula in the dataset: 0 kJ/mol of formula units
* calculated density: 7.73 g/cm3
* DFT formation energy: 1 kJ/mol of formula units

abc: 7.217 6.234 12.811
angles: 119.12 90.00 90.00
Fractional coordinates of all 16 atoms:
Y  0.500  0.956  0.625
Y  0.500  0.456  0.125
Y  0.500  0.044  0.375
Y  0.500  0.544  0.875
Tb  0.247  0.458  0.624
Tb  0.753  0.542  0.376
Tb  0.753  0.958  0.124
Tb  0.247  0.042  0.876
Tm  0.000  0.041  0.375
Tm  0.247  0.959  0.126
Tm  0.753  0.041  0.874
Tm  0.247  0.541  0.374
Tm  0.000  0.459  0.125
Tm  0.000  0.541  0.875
Tm  0.753  0.459  0.626
Tm  0.000  0.959  0.625